{
  "formula": "LaPr2Cu3",
  "functional": "GGA-PBE",
  "state": "relaxed",
  "cell": [[2.584, -7.725, 0.000], [2.584, 7.725, 0.000], [0.000, 0.000, 7.205]],
  "species": ["La", "La", "Pr", "Pr", "Pr", "Pr", "Cu", "Cu", "Cu", "Cu", "Cu", "Cu"],
  "fractional_positions": [[0.167, 0.833, 0.000], [0.833, 0.167, 0.000], [0.167, 0.833, 0.500], [0.500, 0.500, 0.000], [0.500, 0.500, 0.500], [0.833, 0.167, 0.500], [0.000, 0.000, 0.253], [0.000, 0.000, 0.747], [0.335, 0.665, 0.255], [0.335, 0.665, 0.745], [0.665, 0.335, 0.255], [0.665, 0.335, 0.745]],
  "space_group": "Cmmm",
  "n_ef_per_ev_cell": 11.31,
  "final_energy_ev_per_atom": -4.585,
  "formation_enthalpy_0k_ev_per_atom": -0.122
}

***

{
  "formula": "LaPr2Cu",
  "functional": "GGA-PBE",
  "state": "relaxed",
  "cell": [[3.671, 0.000, 0.000], [0.000, 3.671, 0.000], [0.000, 0.000, 8.959]],
  "species": ["La", "Pr", "Pr", "Cu"],
  "fractional_positions": [[0.000, 0.000, 0.000], [0.500, 0.500, 0.305], [0.500, 0.500, 0.695], [0.000, 0.000, 0.500]],
  "space_group": "P4/mmm",
  "n_ef_per_ev_cell": 5.30,
  "final_energy_ev_per_atom": -4.690,
  "formation_enthalpy_0k_ev_per_atom": -0.044
}

***

{
  "formula": "LaPrCu10",
  "functional": "GGA-PBE",
  "state": "relaxed",
  "cell": [[4.134, 0.000, 0.000], [0.000, 5.178, 0.000], [0.000, 0.000, 8.886]],
  "species": ["La", "Pr", "Cu", "Cu", "Cu", "Cu", "Cu", "Cu", "Cu", "Cu", "Cu", "Cu"],
  "fractional_positions": [[0.000, 0.000, 0.000], [0.000, 0.500, 0.500], [0.000, 0.000, 0.334], [0.000, 0.000, 0.666], [0.000, 0.500, 0.167], [0.000, 0.500, 0.833], [0.500, 0.000, 0.500], [0.500, 0.251, 0.252], [0.500, 0.251, 0.748], [0.500, 0.500, 0.000], [0.500, 0.749, 0.252], [0.500, 0.749, 0.748]],
  "space_group": "Pmmm",
  "n_ef_per_ev_cell": 7.29,
  "final_energy_ev_per_atom": -4.377,
  "formation_enthalpy_0k_ev_per_atom": -0.155
}

***

{
  "formula": "La2Pr3Cu2",
  "functional": "GGA-PBE",
  "state": "relaxed",
  "cell": [[6.327, -1.921, 0.000], [6.327, 1.921, 0.000], [-4.031, 0.000, 8.571]],
  "species": ["La", "La", "Pr", "Pr", "Pr", "Cu", "Cu"],
  "fractional_positions": [[0.160, 0.160, 0.314], [0.840, 0.840, 0.686], [0.385, 0.385, 0.059], [0.500, 0.500, 0.500], [0.615, 0.615, 0.941], [0.164, 0.164, 0.727], [0.836, 0.836, 0.273]],
  "space_group": "C2/m",
  "n_ef_per_ev_cell": 9.06,
  "final_energy_ev_per_atom": -4.697,
  "formation_enthalpy_0k_ev_per_atom": -0.071
}

***

{
  "formula": "LaPrCuPt",
  "functional": "GGA-PBE",
  "state": "relaxed",
  "cell": [[0.000, 3.648, 3.648], [3.648, 0.000, 3.648], [3.648, 3.648, 0.000]],
  "species": ["La", "Pr", "Cu", "Pt"],
  "fractional_positions": [[0.000, 0.000, 0.000], [0.500, 0.500, 0.500], [0.250, 0.250, 0.250], [0.750, 0.750, 0.750]],
  "space_group": "F-43m",
  "n_ef_per_ev_cell": 2.98,
  "final_energy_ev_per_atom": -5.564,
  "formation_enthalpy_0k_ev_per_atom": -0.603
}

***

{
  "formula": "LaPrCuPt",
  "functional": "GGA-PBE",
  "state": "relaxed",
  "cell": [[4.549, 0.000, 0.000], [0.000, 1.991, 5.545], [0.000, -1.991, 5.545]],
  "species": ["La", "Pr", "Cu", "Pt"],
  "fractional_positions": [[0.000, 0.000, 0.000], [0.500, 0.726, 0.726], [0.000, 0.287, 0.287], [0.500, 0.442, 0.442]],
  "space_group": "Amm2",
  "n_ef_per_ev_cell": 3.78,
  "final_energy_ev_per_atom": -5.642,
  "formation_enthalpy_0k_ev_per_atom": -0.681
}